(1)
First-principles (PBE) data for crystalline AlCr3Ag at its relaxed geometry, as listed in Alexandria via LeMat-Bulk.

Output
The value obtained for the formation energy is 1303 meV/atom. The energy above the most stable polymorph in this dataset is 0.0000 eV per atom.

Cell lengths 4.7822, 4.7822, 4.7822 Å; angles 90.00, 90.00, 90.00 degrees
Closest atoms and distances in Å follow each position.
Space group Pm-3m (No. 221)
One atom of each set of equivalent atoms:
Al  0.0000  0.0000  0.0000 [1 per cell]  6 Cr 2.39
Cr  0.0000  0.0000  0.5000 [3 per cell]  2 Al 2.39
Ag  0.5000  0.5000  0.5000 [1 per cell]  12 Cr 3.38

(2)
First-principles (PBE) data for crystalline LaHf2Co2 at its relaxed geometry, as listed in Alexandria via LeMat-Bulk.

Output
The value obtained for the formation energy is -227 meV/atom. The energy above the most stable polymorph in this dataset is 0.0000 eV per atom.

Cell lengths 4.4091, 4.4091, 10.3731 Å; angles 90.00, 90.00, 90.00 degrees
Closest atoms and distances in Å follow each position.
Space group I4/mmm (No. 139)
One atom of each set of equivalent atoms:
La  0.0000  0.0000  0.0000 [2 per cell]  8 Co 3.34, 8 Hf 3.40
Hf  0.0000  0.5000  0.2500 [4 per cell]  4 Co 2.61
Co  0.0000  0.0000  0.3840 [4 per cell]  1 Co 2.41, 4 Hf 2.61

(3)
First-principles (PBE) data for crystalline Sc3Hg2Ir at its relaxed geometry, as listed in Alexandria via LeMat-Bulk.

Output
The value obtained for the formation energy is -616 meV/atom.

Cell lengths 4.7865, 14.2756, 7.0607 Å; angles 90.00, 90.00, 90.00 degrees
Closest atoms and distances in Å follow each position.
Space group Cmmm (No. 65)
One atom of each set of equivalent atoms:
Sc  0.0000  0.0000  0.2339 [4 per cell]  2 Ir 2.89, 6 Hg 2.91-3.04
Sc  0.0000  0.3264  0.2253 [8 per cell]  3 Ir 2.79-2.88, 4 Hg 2.94-3.08
Hg  0.0000  0.1650  0.5000 [4 per cell]  8 Sc 3.01-3.08, 2 Hg 3.36
Hg  0.0000  0.5000  0.0000 [2 per cell]  8 Sc 2.91-2.94
Hg  0.0000  0.5000  0.5000 [2 per cell]  8 Sc 3.04-3.15, 4 Hg 3.36
Ir  0.0000  0.1658  0.0000 [4 per cell]  8 Sc 2.79-2.89

(4)
First-principles (PBE) data for crystalline MgZn2Si at its relaxed geometry, as listed in Alexandria via LeMat-Bulk.

Output
The uncorrected formation energy comes out at 0.079 eV per atom. The energy above the most stable polymorph in this dataset is 0.0161 eV per atom.

Cell lengths 9.5475, 2.9935, 4.6641 Å; angles 90.00, 97.83, 90.00 degrees
Closest atoms and distances in Å follow each position.
Space group C2/m (No. 12)
One atom of each set of equivalent atoms:
Mg  0.0000  0.0000  0.0000 [2 per cell]  4 Si 2.77, 6 Zn 2.78-2.95, 2 Mg 2.99
Zn  0.2472  0.0000  0.7454 [4 per cell]  6 Zn 2.74-2.99, 3 Mg 2.78-2.95, 3 Si 2.81-2.90
Si  0.0000  0.5000  0.5000 [2 per cell]  4 Mg 2.77, 6 Zn 2.81-2.90, 2 Si 2.99

(5)
First-principles (PBE) data for crystalline Ca3RhO6 at its relaxed geometry, as listed in Alexandria via LeMat-Bulk.

Output
The uncorrected formation energy comes out at -2.020 eV per atom.

Cell lengths 9.4518, 9.4518, 11.0040 Å; angles 90.00, 90.00, 120.00 degrees
Closest atoms and distances in Å follow each position.
Space group R-3 (No. 148, hexagonal axes)
One atom of each set of equivalent atoms:
Ca  0.0434  0.2694  0.2020 [18 per cell]  6 O 2.32-2.43
Rh  0.0000  0.0000  0.0000 [3 per cell]  6 O 1.97
Rh  0.0000  0.0000  0.5000 [3 per cell]  6 O 1.98
O  0.0272  0.1877  0.4027 [18 per cell]  1 Rh 1.98
O  0.0279  0.1805  0.8951 [18 per cell]  1 Rh 1.97

(6)
First-principles (PBE) data for crystalline Mn2Pt at its relaxed geometry, as listed in Alexandria via LeMat-Bulk.

Output
The value obtained for the formation energy is -12 meV/atom.

Cell lengths 7.5104, 7.5104, 2.8398 Å; angles 90.00, 90.00, 120.00 degrees
Closest atoms and distances in Å follow each position.
Space group P-62m (No. 189)
One atom of each set of equivalent atoms:
Mn  0.0000  0.2939  0.0000 [3 per cell]  4 Pt 2.62-2.66, 8 Mn 2.84-2.93
Mn  0.0000  0.6248  0.5000 [3 per cell]  5 Pt 2.76-2.82, 8 Mn 2.84-2.93
Pt  0.0000  0.0000  0.5000 [1 per cell]  9 Mn 2.62-2.82, 2 Pt 2.84
Pt  0.3333  0.6667  0.0000 [2 per cell]  9 Mn 2.66-2.76, 2 Pt 2.84

(7)
First-principles (PBE) data for crystalline TbErHg at its relaxed geometry, as listed in Alexandria via LeMat-Bulk.

Output
The value obtained for the formation energy is -363 meV/atom. The energy above the most stable polymorph in this dataset is 0.0000 eV per atom.

Cell lengths 7.1111, 5.0729, 9.1934 Å; angles 90.00, 90.00, 90.00 degrees
Closest atoms and distances in Å follow each position.
Space group Pnma (No. 62)
One atom of each set of equivalent atoms:
Tb  0.0157  0.2500  0.1928 [4 per cell]  3 Hg 3.15-3.24, 1 Er 3.49
Er  0.1668  0.2500  0.5747 [4 per cell]  4 Hg 3.02-3.08
Hg  0.2411  0.2500  0.8981 [4 per cell]  4 Er 3.02-3.08, 3 Tb 3.15-3.24

(8)
First-principles (PBE) data for crystalline K3Sb4S8 at its relaxed geometry, as listed in Alexandria via LeMat-Bulk.

Output
The uncorrected formation energy comes out at -0.423 eV per atom.

Cell lengths 11.6445, 11.8270, 7.9982 Å; angles 90.00, 132.87, 90.00 degrees
Closest atoms and distances in Å follow each position.
Space group C2/m (No. 12)
One atom of each set of equivalent atoms:
K  0.0000  0.0000  0.0000 [2 per cell]  6 S 3.08-3.15
K  0.2500  0.2500  0.0000 [4 per cell]  6 S 2.92-2.99
Sb  0.0000  0.5000  0.0000 [2 per cell]  6 S 2.74-2.80
Sb  0.0000  0.5000  0.5000 [2 per cell]  6 S 2.53-2.74
Sb  0.2500  0.2500  0.5000 [4 per cell]  6 S 2.93-2.96
S  0.0000  0.2661  0.0000 [4 per cell]  3 Sb 2.77-2.94, 2 K 2.92
S  0.0000  0.2758  0.5000 [4 per cell]  3 Sb 2.65-2.93, 2 K 2.95
S  0.2010  0.5000  0.9316 [4 per cell]  2 Sb 2.53-2.74
S  0.2249  0.5000  0.4780 [4 per cell]  4 Sb 2.74-2.96

(9)
First-principles (PBE) data for crystalline RbZrCo2 at its relaxed geometry, as listed in Alexandria via LeMat-Bulk.

Output
The value obtained for the formation energy is 1122 meV/atom. The energy above the most stable polymorph in this dataset is 0.0000 eV per atom.

Cell lengths 6.7502, 6.7502, 6.7502 Å; angles 90.00, 90.00, 90.00 degrees
Closest atoms and distances in Å follow each position.
Space group Fm-3m (No. 225)
One atom of each set of equivalent atoms:
Rb  0.0000  0.0000  0.0000 [4 per cell]  8 Co 2.92
Zr  0.0000  0.0000  0.5000 [4 per cell]  8 Co 2.92
Co  0.2500  0.2500  0.2500 [8 per cell]  4 Zr 2.92, 4 Rb 2.92

(10)
First-principles (PBE) data for crystalline HfTiSn2 at its relaxed geometry, as listed in Alexandria via LeMat-Bulk.

Output
The value obtained for the formation energy is -213 meV/atom. The energy above the most stable polymorph in this dataset is 0.0000 eV per atom.

Cell lengths 3.1643, 3.1643, 8.3304 Å; angles 90.00, 90.00, 90.00 degrees
Closest atoms and distances in Å follow each position.
Space group P4/mmm (No. 123)
One atom of each set of equivalent atoms:
Hf  0.0000  0.0000  0.0000 [1 per cell]  8 Sn 3.12, 4 Hf 3.16
Ti  0.0000  0.0000  0.5000 [1 per cell]  8 Sn 2.99, 4 Ti 3.16
Sn  0.5000  0.5000  0.2613 [2 per cell]  4 Ti 2.99, 4 Hf 3.12, 4 Sn 3.16

(11)
First-principles (PBE) data for crystalline NaZr2Ta3N6 at its relaxed geometry, as listed in Alexandria via LeMat-Bulk.

Output
The uncorrected formation energy comes out at -1.179 eV per atom.

Cell lengths 13.8709, 3.1873, 6.3947 Å; angles 90.00, 104.38, 90.00 degrees
Closest atoms and distances in Å follow each position.
Space group C2/m (No. 12)
One atom of each set of equivalent atoms:
Na  0.0000  0.0000  0.0000 [2 per cell]  6 N 2.33-2.34
Zr  0.1624  0.5000  0.3337 [4 per cell]  6 N 2.23-2.35
Ta  0.0000  0.0000  0.5000 [2 per cell]  6 N 2.18-2.21
Ta  0.1613  0.5000  0.8226 [4 per cell]  6 N 2.12-2.22
N  0.0034  0.5000  0.7353 [4 per cell]  3 Ta 2.12-2.18, 1 Zr 2.23, 2 Na 2.33
N  0.1645  0.0000  0.5929 [4 per cell]  3 Ta 2.18-2.21, 3 Zr 2.29-2.33
N  0.1736  0.0000  0.0706 [4 per cell]  3 Ta 2.22, 1 Na 2.34, 2 Zr 2.35

Number 1: size of the total moment 12.00 μB/cell, uncorrected energy -28.95 eV per cell. Number 2: size of the total moment 0.00 μB/cell, uncorrected energy -80.36 eV per cell. Number 3: size of the total moment 0.00 μB/cell, uncorrected energy -128.62 eV per cell. Number 4: size of the total moment 0.00 μB/cell, uncorrected energy -18.50 eV per cell. Number 5: size of the total moment 17.86 μB/cell, uncorrected energy -379.83 eV per cell. Number 6: size of the total moment 24.14 μB/cell, uncorrected energy -73.25 eV per cell. Number 7: size of the total moment 0.00 μB/cell, uncorrected energy -42.33 eV per cell. Number 8: size of the total moment 0.00 μB/cell, uncorrected energy -118.29 eV per cell. Number 9: size of the total moment 4.81 μB/cell, uncorrected energy -76.96 eV per cell. Number 10: size of the total moment 0.00 μB/cell, uncorrected energy -26.71 eV per cell. Number 11: size of the total moment 0.00 μB/cell, uncorrected energy -236.14 eV per cell.